KMnP2O8 | Alexandria via LeMat-Bulk | PBE+U | optimized geometry; E = -6.753 eV per atom; total magnetic moment = 4.13 μB per cell; density of states at the Fermi level = 9.53 states/eV/cell; space group = No. 147
1.0
4.883 0.000 0.000
-2.442 4.229 0.000
0.000 0.000 8.167
K Mn P O
1 1 2 8
direct
0.000 0.000 0.000
0.000 0.000 0.500
0.333 0.667 0.700
0.667 0.333 0.300
0.061 0.341 0.640
0.280 0.939 0.640
0.333 0.667 0.887
0.341 0.280 0.360
0.659 0.720 0.640
0.667 0.333 0.113
0.720 0.061 0.360
0.939 0.659 0.360